[1]
Computed, not measured: crystalline Sc3BiPt at its relaxed geometry at the GGA-PBE level of DFT.

Properties
SG = Pm-3m (221)
Energy of formation = -0.543 eV/atom

```
data_Sc3BiPt
_chemical_formula_sum 'Sc3 Bi1 Pt1'
_space_group_name_H-M_alt 'P 1'
_space_group_IT_number 1
_space_group_name_Hall 'P 1'
_cell_length_a 5.106
_cell_length_b 5.106
_cell_length_c 5.106
_cell_angle_alpha 90.00
_cell_angle_beta 90.00
_cell_angle_gamma 90.00
loop_
_atom_site_label
_atom_site_type_symbol
_atom_site_fract_x
_atom_site_fract_y
_atom_site_fract_z
_atom_site_occupancy
Sc1 Sc 0.000 0.000 0.500 1
Sc2 Sc 0.000 0.500 0.000 1
Sc3 Sc 0.500 0.000 0.000 1
Bi1 Bi 0.500 0.500 0.500 1
Pt1 Pt 0.000 0.000 0.000 1
```

---

[2]
Computed, not measured: crystalline Th3Si3Ni at its relaxed geometry at the GGA-PBE level of DFT.

Properties
SG = C2/m (12)
Energy relative to the elements, uncorrected = -0.718 eV per atom

```
data_Th3Si3Ni
_chemical_formula_sum 'Th6 Si6 Ni2'
_space_group_name_H-M_alt 'P 1'
_space_group_IT_number 1
_space_group_name_Hall 'P 1'
_cell_length_a 5.821
_cell_length_b 5.821
_cell_length_c 14.246
_cell_angle_alpha 108.91
_cell_angle_beta 108.91
_cell_angle_gamma 42.64
loop_
_atom_site_label
_atom_site_type_symbol
_atom_site_fract_x
_atom_site_fract_y
_atom_site_fract_z
_atom_site_occupancy
Th1 Th 0.022 0.022 0.387 1
Th2 Th 0.106 0.106 0.920 1
Th3 Th 0.242 0.242 0.231 1
Th4 Th 0.758 0.758 0.769 1
Th5 Th 0.894 0.894 0.080 1
Th6 Th 0.978 0.978 0.613 1
Si1 Si 0.335 0.335 0.456 1
Si2 Si 0.391 0.391 0.924 1
Si3 Si 0.464 0.464 0.760 1
Si4 Si 0.536 0.536 0.240 1
Si5 Si 0.609 0.609 0.076 1
Si6 Si 0.665 0.665 0.544 1
Ni1 Ni 0.267 0.267 0.606 1
Ni2 Ni 0.733 0.733 0.394 1
```

---

[3]
Computed, not measured: crystalline Pa4C3S at its relaxed geometry at the GGA-PBE level of DFT.

Properties
SG = P6_3/mmc (194)
Energy relative to the elements, uncorrected = -0.748 eV per atom

```
data_Pa4C3S
_chemical_formula_sum 'Pa8 C6 S2'
_space_group_name_H-M_alt 'P 1'
_space_group_IT_number 1
_space_group_name_Hall 'P 1'
_cell_length_a 3.608
_cell_length_b 3.608
_cell_length_c 25.140
_cell_angle_alpha 90.00
_cell_angle_beta 90.00
_cell_angle_gamma 120.00
loop_
_atom_site_label
_atom_site_type_symbol
_atom_site_fract_x
_atom_site_fract_y
_atom_site_fract_z
_atom_site_occupancy
Pa1 Pa 0.000 0.000 0.172 1
Pa2 Pa 0.000 0.000 0.328 1
Pa3 Pa 0.000 0.000 0.672 1
Pa4 Pa 0.000 0.000 0.828 1
Pa5 Pa 0.333 0.667 0.058 1
Pa6 Pa 0.333 0.667 0.442 1
Pa7 Pa 0.667 0.333 0.558 1
Pa8 Pa 0.667 0.333 0.942 1
C1 C 0.000 0.000 0.000 1
C2 C 0.000 0.000 0.500 1
C3 C 0.333 0.667 0.619 1
C4 C 0.333 0.667 0.881 1
C5 C 0.667 0.333 0.119 1
C6 C 0.667 0.333 0.381 1
S1 S 0.333 0.667 0.250 1
S2 S 0.667 0.333 0.750 1
```

---

[4]
Computed, not measured: crystalline Be2SbAs at its relaxed geometry at the GGA-PBE level of DFT.

Properties
SG = Pmmm (47)
Energy relative to the elements, uncorrected = 0.598 eV per atom

```
data_Be2SbAs
_chemical_formula_sum 'Be2 Sb1 As1'
_space_group_name_H-M_alt 'P 1'
_space_group_IT_number 1
_space_group_name_Hall 'P 1'
_cell_length_a 3.585
_cell_length_b 3.590
_cell_length_c 5.218
_cell_angle_alpha 90.00
_cell_angle_beta 90.00
_cell_angle_gamma 90.00
loop_
_atom_site_label
_atom_site_type_symbol
_atom_site_fract_x
_atom_site_fract_y
_atom_site_fract_z
_atom_site_occupancy
Be1 Be 0.000 0.000 0.000 1
Be2 Be 0.500 0.000 0.500 1
Sb1 Sb 0.000 0.500 0.500 1
As1 As 0.500 0.500 0.000 1
```

---

[5]
Computed, not measured: crystalline PRu2O at its relaxed geometry at the GGA-PBE level of DFT.

Properties
SG = I-42d (122)
Energy relative to the elements, uncorrected = -0.206 eV per atom

```
data_PRu2O
_chemical_formula_sum 'P2 Ru4 O2'
_space_group_name_H-M_alt 'P 1'
_space_group_IT_number 1
_space_group_name_Hall 'P 1'
_cell_length_a 6.053
_cell_length_b 6.053
_cell_length_c 6.053
_cell_angle_alpha 132.09
_cell_angle_beta 132.09
_cell_angle_gamma 70.09
loop_
_atom_site_label
_atom_site_type_symbol
_atom_site_fract_x
_atom_site_fract_y
_atom_site_fract_z
_atom_site_occupancy
P1 P 0.000 0.000 0.000 1
P2 P 0.750 0.250 0.500 1
Ru1 Ru 0.160 0.625 0.035 1
Ru2 Ru 0.375 0.410 0.535 1
Ru3 Ru 0.590 0.125 0.965 1
Ru4 Ru 0.875 0.840 0.465 1
O1 O 0.250 0.750 0.500 1
O2 O 0.500 0.500 0.000 1
```

---

[6]
Computed, not measured: crystalline Th6Sn3H at its relaxed geometry at the GGA-PBE level of DFT.

Properties
E = -6.302 eV/atom
SG = Cmc2_1 (36)

```
data_Th6Sn3H
_chemical_formula_sum 'Th12 Sn6 H2'
_space_group_name_H-M_alt 'P 1'
_space_group_IT_number 1
_space_group_name_Hall 'P 1'
_cell_length_a 9.633
_cell_length_b 9.633
_cell_length_c 6.201
_cell_angle_alpha 90.00
_cell_angle_beta 90.00
_cell_angle_gamma 100.07
loop_
_atom_site_label
_atom_site_type_symbol
_atom_site_fract_x
_atom_site_fract_y
_atom_site_fract_z
_atom_site_occupancy
Th1 Th 0.092 0.908 0.500 1
Th2 Th 0.105 0.529 0.717 1
Th3 Th 0.234 0.333 0.126 1
Th4 Th 0.322 0.678 0.270 1
Th5 Th 0.333 0.234 0.626 1
Th6 Th 0.471 0.895 0.717 1
Th7 Th 0.529 0.105 0.217 1
Th8 Th 0.667 0.766 0.126 1
Th9 Th 0.678 0.322 0.770 1
Th10 Th 0.766 0.667 0.626 1
Th11 Th 0.895 0.471 0.217 1
Th12 Th 0.908 0.092 0.000 1
Sn1 Sn 0.002 0.228 0.506 1
Sn2 Sn 0.228 0.002 0.006 1
Sn3 Sn 0.442 0.558 0.794 1
Sn4 Sn 0.558 0.442 0.294 1
Sn5 Sn 0.772 0.998 0.506 1
Sn6 Sn 0.998 0.772 0.006 1
H1 H 0.245 0.755 0.597 1
H2 H 0.755 0.245 0.097 1
```

---

Number 1: DOS at the Fermi energy 7.29 states/eV per cell, total magnetic moment 0.00 μB/cell. Number 2: DOS at the Fermi energy 7.35 states/eV per cell, total magnetic moment 0.00 μB/cell. Number 3: DOS at the Fermi energy 13.14 states/eV per cell, total magnetic moment 0.00 μB/cell. Number 4: DOS at the Fermi energy 1.70 states/eV per cell, total magnetic moment 0.00 μB/cell. Number 5: DOS at the Fermi energy 3.34 states/eV per cell, total magnetic moment 0.00 μB/cell. Number 6: DOS at the Fermi energy 20.59 states/eV per cell, total magnetic moment 0.00 μB/cell.